Density functional theory data (GGA-PBE) for a relaxed structure of Sr3NbS.

Computed properties:
space-group type = No. 221
D(E_F) = 3.56 states/eV/f.u.
calculated density = 3.39 Mg/m³
formation energy (no corrections) = -46 kJ/mol of formula units

```
5
Lattice="5.750 0.000 0.000 0.000 5.750 0.000 0.000 0.000 5.750" Properties=species:S:1:pos:R:3 pbc="T T T"
Sr 0.000 0.000 2.875
Sr 0.000 2.875 0.000
Sr 2.875 0.000 0.000
Nb 2.875 2.875 2.875
S 0.000 0.000 0.000
```